# 1
Ti2Zn2Mo: optimized geometry, PBE-GGA.

Results
The energy relative to the elements comes out at -0.168 eV/atom. The value obtained for the density is 6.8 g/cm³. As for the energy above the most stable polymorph in this dataset: 0.000 eV per atom.

Lattice parameters (Å, degrees): 3.2377 3.2515 14.9612 90.00 90.00 90.00
Closest atoms and distances in Å follow each position.
Space group Immm (No. 71)
Inequivalent atoms, fractional coordinates:
Ti (0.0000, 0.0000, 0.0945) [4 per cell]  4 Mo 2.70, 4 Zn 2.81, 1 Ti 2.83
Zn (0.0000, 0.0000, 0.2966) [4 per cell]  4 Zn 2.69, 4 Ti 2.81
Mo (0.0000, 0.0000, 0.5000) [2 per cell]  8 Ti 2.70

=====

# 2
Ti3ZnMo: optimized geometry, PBE-GGA.

Results
The energy relative to the elements comes out at 1.067 eV/atom. The value obtained for the density is 5.3 g/cm³. As for the energy above the most stable polymorph in this dataset: 1.199 eV per atom.

Lattice parameters (Å, degrees): 4.5755 4.5755 4.5755 90.00 90.00 90.00
Closest atoms and distances in Å follow each position.
Space group Pm-3m (No. 221)
Inequivalent atoms, fractional coordinates:
Ti (0.0000, 0.0000, 0.5000) [3 per cell]  2 Zn 2.29
Zn (0.0000, 0.0000, 0.0000) [1 per cell]  6 Ti 2.29
Mo (0.5000, 0.5000, 0.5000) [1 per cell]  12 Ti 3.24

=====

# 3
Ti4Zn3Mo: optimized geometry, PBE-GGA.

Results
The energy relative to the elements comes out at -0.196 eV/atom. The value obtained for the density is 6.4 g/cm³.

Lattice parameters (Å, degrees): 3.2135 3.2135 12.2067 90.00 90.00 90.00
Closest atoms and distances in Å follow each position.
Space group P4/mmm (No. 123)
Inequivalent atoms, fractional coordinates:
Ti (0.0000, 0.0000, 0.1190) [2 per cell]  4 Mo 2.70, 4 Zn 2.78, 1 Ti 2.90
Ti (0.0000, 0.0000, 0.3750) [2 per cell]  8 Zn 2.74, 1 Ti 3.05
Zn (0.5000, 0.5000, 0.2496) [2 per cell]  8 Ti 2.74-2.78, 1 Mo 3.05, 1 Zn 3.06
Zn (0.5000, 0.5000, 0.5000) [1 per cell]  8 Ti 2.74, 2 Zn 3.06
Mo (0.5000, 0.5000, 0.0000) [1 per cell]  8 Ti 2.70

=====

# 4
TiZnMo2: optimized geometry, PBE-GGA.

Results
The energy relative to the elements comes out at -0.026 eV/atom. The value obtained for the density is 8.2 g/cm³.

Lattice parameters (Å, degrees): 3.8038 3.8038 4.2643 90.00 90.00 90.00
Closest atoms and distances in Å follow each position.
Space group P4/mmm (No. 123)
Inequivalent atoms, fractional coordinates:
Ti (0.0000, 0.0000, 0.0000) [1 per cell]  4 Zn 2.69, 8 Mo 2.86
Zn (0.5000, 0.5000, 0.0000) [1 per cell]  4 Ti 2.69, 8 Mo 2.86
Mo (0.0000, 0.5000, 0.5000) [2 per cell]  4 Mo 2.69, 4 Zn 2.86, 4 Ti 2.86

=====

# 5
Ti3Zn2Mo: optimized geometry, PBE-GGA.

Results
The energy relative to the elements comes out at -0.198 eV/atom. The value obtained for the density is 6.5 g/cm³.

Lattice parameters (Å, degrees): 3.2223 3.2223 9.1382 90.00 90.00 90.00
Closest atoms and distances in Å follow each position.
Space group P4/mmm (No. 123)
Inequivalent atoms, fractional coordinates:
Ti (0.0000, 0.0000, 0.0000) [1 per cell]  8 Zn 2.75
Ti (0.0000, 0.0000, 0.3412) [2 per cell]  4 Mo 2.70, 4 Zn 2.77, 1 Ti 2.90
Zn (0.5000, 0.5000, 0.1679) [2 per cell]  8 Ti 2.75-2.77, 1 Mo 3.03, 1 Zn 3.07
Mo (0.5000, 0.5000, 0.5000) [1 per cell]  8 Ti 2.70

=====

# 6
Ti8Zn2Mo: optimized geometry, PBE-GGA.

Results
The energy relative to the elements comes out at 0.089 eV/atom. The value obtained for the density is 5.4 g/cm³.

Lattice parameters (Å, degrees): 4.1204 4.1204 11.0598 90.00 90.00 90.00
Closest atoms and distances in Å follow each position.
Space group P4/mmm (No. 123)
Inequivalent atoms, fractional coordinates:
Ti (0.0000, 0.0000, 0.1726) [2 per cell]  8 Ti 2.81-2.90, 4 Zn 2.91
Ti (0.0000, 0.5000, 0.0000) [2 per cell]  8 Ti 2.81-2.91, 4 Zn 2.85
Ti (0.0000, 0.5000, 0.3568) [4 per cell]  2 Mo 2.60, 2 Zn 2.85, 2 Ti 2.90
Zn (0.5000, 0.5000, 0.1784) [2 per cell]  12 Ti 2.85-2.91
Mo (0.5000, 0.5000, 0.5000) [1 per cell]  8 Ti 2.60

=====

# 7
TiZnMo3: optimized geometry, PBE-GGA.

Results
The energy relative to the elements comes out at 1.520 eV/atom. The value obtained for the density is 7.0 g/cm³. As for the energy above the most stable polymorph in this dataset: 0.063 eV per atom.

Lattice parameters (Å, degrees): 4.5565 4.5565 4.5565 90.00 90.00 90.00
Closest atoms and distances in Å follow each position.
Space group Pm-3m (No. 221)
Inequivalent atoms, fractional coordinates:
Ti (0.0000, 0.0000, 0.0000) [1 per cell]  12 Mo 3.22
Zn (0.5000, 0.5000, 0.5000) [1 per cell]  6 Mo 2.28
Mo (0.0000, 0.5000, 0.5000) [3 per cell]  2 Zn 2.28

=====

# 8
ZrTiZnMo2: optimized geometry, PBE-GGA.

Results
The energy relative to the elements comes out at 1.184 eV/atom. The value obtained for the density is 6.4 g/cm³.

Lattice parameters (Å, degrees): 4.5328 4.5328 4.9767 90.00 90.00 90.00
Closest atoms and distances in Å follow each position.
Space group P4/mmm (No. 123)
Inequivalent atoms, fractional coordinates:
Zr (0.0000, 0.0000, 0.0000) [1 per cell]  2 Ti 2.49
Ti (0.0000, 0.0000, 0.5000) [1 per cell]  4 Mo 2.27, 2 Zr 2.49
Zn (0.5000, 0.5000, 0.0000) [1 per cell]  4 Zr 3.21, 8 Mo 3.37
Mo (0.0000, 0.5000, 0.5000) [2 per cell]  2 Ti 2.27